# GGA-PBE BeFe2Te, relaxed
# formation energy from raw total energies: 0.252 eV/atom
# total DFT energy (no corrections): -91.14 eV per cell
# crystal system: cubic
data_BeFe2Te
_cell_length_a 5.7704
_cell_length_b 5.7704
_cell_length_c 5.7704
_cell_angle_alpha 90.00
_cell_angle_beta 90.00
_cell_angle_gamma 90.00
_space_group_name_H-M_alt 'F m -3 m'
_space_group_IT_number 225
_space_group_name_Hall '-F 4 2 3'
loop_
_atom_site_label
_atom_site_type_symbol
_atom_site_fract_x
_atom_site_fract_y
_atom_site_fract_z
Be1 Be 0.0000 0.0000 0.0000
Fe1 Fe 0.2500 0.2500 0.2500
Te1 Te 0.0000 0.0000 0.5000